[1]
The following is a PBE calculation of CuAg3F8 after structural relaxation, from Alexandria via LeMat-Bulk.

Values from the calculation:
energy above the lowest structure with this stoichiometry: 0.000 eV/atom
calculated volume: 203.69 Å³ per cell
D(E_F): 0.4564 states/eV/atom
raw formation energy: -1193 meV per atom

Lattice parameters (Å, degrees): 6.4715 6.4715 6.4437 90.00 90.00 130.99
With the nearest neighbours (Å) after each atom.
Sites, in units of the cell vectors:
F1 0.3045 0.6955 0.0000  3 Ag 2.21-2.30
F2 0.6955 0.3045 0.0000  3 Ag 2.21-2.30
F3 0.7413 0.7252 0.2970  1 Cu 1.81
F4 0.7093 0.2907 0.5000  2 Ag 2.14
Ag1 0.5000 0.5000 0.0000  6 F 2.29-2.30
Ag2 0.5000 0.0000 0.7473  4 F 2.14-2.21
Ag3 0.0000 0.5000 0.2527  4 F 2.14-2.21
F5 0.2587 0.2748 0.2970  1 Cu 1.81
F6 0.2907 0.7093 0.5000  2 Ag 2.14
F7 0.7252 0.7413 0.7030  1 Cu 1.81
Cu1 0.5000 0.5000 0.5000  4 F 1.81
F8 0.2748 0.2587 0.7030  1 Cu 1.81

***

[2]
The following is a PBE calculation of Ce3CoGe3 after structural relaxation, from Alexandria via LeMat-Bulk.

Values from the calculation:
energy above the lowest structure with this stoichiometry: 0.316 eV/atom
calculated volume: 364.43 Å³ per cell
D(E_F): 1.8280 states/eV/atom
ΔE_f: -0.340 eV/atom

Lattice parameters (Å, degrees): 5.8824 8.4196 8.4683 119.67 90.00 90.00
With the nearest neighbours (Å) after each atom.
Sites, in units of the cell vectors:
Ce1 0.2500 0.5986 0.6887  5 Ge 2.93-2.98
Ce2 0.2500 0.0807 0.3913  5 Ge 2.94-2.98, 1 Co 3.29
Ce3 0.7500 0.9193 0.6087  5 Ge 2.94-2.98, 1 Co 3.29
Ce4 0.7500 0.4014 0.3113  5 Ge 2.93-2.98
Ge1 0.7500 0.6354 0.7145  1 Co 2.35
Ce5 0.7500 0.6966 0.0861  5 Ge 2.93-2.97
Co1 0.7500 0.3363 0.6685  3 Ge 2.35
Ge2 0.2500 0.7076 0.0783  1 Co 2.35
Ge3 0.2500 0.9130 0.6292  1 Co 2.35
Co2 0.2500 0.6637 0.3315  3 Ge 2.35
Ce6 0.2500 0.3034 0.9139  5 Ge 2.93-2.97
Ge4 0.7500 0.2924 0.9217  1 Co 2.35
Ge5 0.7500 0.0870 0.3708  1 Co 2.35
Ge6 0.2500 0.3646 0.2855  1 Co 2.35

***

What is the energy above the lowest structure with this stoichiometry in the second record? 0.316 eV/atom